Material: RbGaAu2
Method: DFT, GGA-PBEsol
State: relaxed

```
data_RbGaAu2
_chemical_formula_sum 'Rb2 Ga2 Au4'
_space_group_name_H-M_alt 'P 1'
_space_group_IT_number 1
_cell_length_a 5.393
_cell_length_b 5.393
_cell_length_c 9.260
_cell_angle_alpha 106.93
_cell_angle_beta 106.93
_cell_angle_gamma 90.00
loop_
_space_group_symop_operation_xyz
'x,y,z'
loop_
_atom_site_label
_atom_site_fract_x
_atom_site_fract_y
_atom_site_fract_z
_atom_site_occupancy
Au1 0.625 0.375 0.750 1
Au2 0.125 0.375 0.750 1
Au3 0.625 0.875 0.250 1
Au4 0.625 0.375 0.250 1
Ga1 0.500 0.500 0.000 1
Ga2 0.750 0.250 0.500 1
Rb1 0.000 0.000 0.000 1
Rb2 0.250 0.750 0.500 1
```

Density of states at the Fermi level (states/eV/atom): 0.421
Density (Mg/m³): 7.43
DFT formation energy (eV/f.u.): -0.6


Material: RbGa2Au3
Method: DFT, GGA-PBEsol
State: relaxed

```
data_RbGa2Au3
_chemical_formula_sum 'Rb4 Ga8 Au12'
_space_group_name_H-M_alt 'P 1'
_space_group_IT_number 1
_cell_length_a 5.561
_cell_length_b 6.996
_cell_length_c 13.367
_cell_angle_alpha 90.00
_cell_angle_beta 90.00
_cell_angle_gamma 90.00
loop_
_space_group_symop_operation_xyz
'x,y,z'
loop_
_atom_site_label
_atom_site_fract_x
_atom_site_fract_y
_atom_site_fract_z
_atom_site_occupancy
Rb1 0.250 0.102 0.074 1
Rb2 0.250 0.398 0.574 1
Rb3 0.750 0.898 0.926 1
Rb4 0.750 0.602 0.426 1
Ga1 0.998 0.891 0.653 1
Ga2 0.502 0.609 0.153 1
Ga3 0.498 0.109 0.347 1
Ga4 0.002 0.391 0.847 1
Ga5 0.002 0.109 0.347 1
Ga6 0.498 0.391 0.847 1
Ga7 0.502 0.891 0.653 1
Ga8 0.998 0.609 0.153 1
Au1 0.250 0.105 0.784 1
Au2 0.250 0.395 0.284 1
Au3 0.750 0.895 0.216 1
Au4 0.750 0.605 0.716 1
Au5 0.250 0.695 0.789 1
Au6 0.250 0.805 0.289 1
Au7 0.750 0.305 0.211 1
Au8 0.750 0.195 0.711 1
Au9 0.250 0.577 0.993 1
Au10 0.250 0.923 0.493 1
Au11 0.750 0.423 0.007 1
Au12 0.750 0.077 0.507 1
```

Density of states at the Fermi level (states/eV/atom): 0.288
Density (Mg/m³): 10.42
DFT formation energy (eV/f.u.): -1.9


> Which of these has the lowest density of states at the Fermi level?

RbGa2Au3


> Among the records above, which one has the highest density of states at the Fermi level?

RbGaAu2


> density of number 2 (RbGa2Au3)?

10.42 Mg/m³


What did the second record say?
Material: RbGa2Au3
Method: DFT, GGA-PBEsol
State: relaxed

```
data_RbGa2Au3
_chemical_formula_sum 'Rb4 Ga8 Au12'
_space_group_name_H-M_alt 'P 1'
_space_group_IT_number 1
_cell_length_a 5.561
_cell_length_b 6.996
_cell_length_c 13.367
_cell_angle_alpha 90.00
_cell_angle_beta 90.00
_cell_angle_gamma 90.00
loop_
_space_group_symop_operation_xyz
'x,y,z'
loop_
_atom_site_label
_atom_site_fract_x
_atom_site_fract_y
_atom_site_fract_z
_atom_site_occupancy
Rb1 0.250 0.102 0.074 1
Rb2 0.250 0.398 0.574 1
Rb3 0.750 0.898 0.926 1
Rb4 0.750 0.602 0.426 1
Ga1 0.998 0.891 0.653 1
Ga2 0.502 0.609 0.153 1
Ga3 0.498 0.109 0.347 1
Ga4 0.002 0.391 0.847 1
Ga5 0.002 0.109 0.347 1
Ga6 0.498 0.391 0.847 1
Ga7 0.502 0.891 0.653 1
Ga8 0.998 0.609 0.153 1
Au1 0.250 0.105 0.784 1
Au2 0.250 0.395 0.284 1
Au3 0.750 0.895 0.216 1
Au4 0.750 0.605 0.716 1
Au5 0.250 0.695 0.789 1
Au6 0.250 0.805 0.289 1
Au7 0.750 0.305 0.211 1
Au8 0.750 0.195 0.711 1
Au9 0.250 0.577 0.993 1
Au10 0.250 0.923 0.493 1
Au11 0.750 0.423 0.007 1
Au12 0.750 0.077 0.507 1
```

Density of states at the Fermi level (states/eV/atom): 0.288
Density (Mg/m³): 10.42
DFT formation energy (eV/f.u.): -1.9